# PBE+U Li2TiWO6, relaxed
# * raw total energy: -7.186 eV/atom
# * V: 122 Å³/cell
# * N(E_F): 0.000 states/eV per atom
data_Li2TiWO6
_chemical_formula_sum 'Li2 Ti1 W1 O6'
_space_group_name_H-M_alt 'P 1'
_space_group_IT_number 1
_cell_length_a 4.052
_cell_length_b 5.492
_cell_length_c 5.492
_cell_angle_alpha 90.00
_cell_angle_beta 90.00
_cell_angle_gamma 90.00
loop_
_space_group_symop_operation_xyz
'x,y,z'
loop_
_atom_site_label
_atom_site_fract_x
_atom_site_fract_y
_atom_site_fract_z
_atom_site_occupancy
Li1 0.916 0.500 0.000 1
Li2 0.916 0.000 0.500 1
Ti1 0.639 0.500 0.500 1
W1 0.653 0.000 0.000 1
O1 0.725 0.245 0.755 1
O2 0.725 0.755 0.245 1
O3 0.218 0.500 0.500 1
O4 0.205 0.000 0.000 1
O5 0.725 0.245 0.245 1
O6 0.725 0.755 0.755 1